Entry 1:
The following is a GGA-PBE calculation of a geometry-optimized BaPu4Te6 structure, from Alexandria via LeMat-Bulk.

Computed properties:
- raw formation energy (eV per atom) = -1.14

POSCAR file:
```
BaPu4Te6
1.0
-1.334 2.941 -3.174
-3.832 -6.551 -1.230
-17.023 7.339 13.953
Pu Ba Te
8 2 12
direct
0.863 0.725 0.540
0.863 0.725 0.960
0.407 0.814 0.374
0.137 0.275 0.460
0.593 0.186 0.626
0.407 0.814 0.126
0.137 0.275 0.040
0.593 0.186 0.874
0.338 0.676 0.750
0.662 0.324 0.250
0.769 0.539 0.084
0.500 0.000 0.000
0.958 0.915 0.840
0.769 0.539 0.416
0.042 0.085 0.340
0.339 0.677 0.250
0.958 0.915 0.660
0.661 0.323 0.750
0.231 0.461 0.916
0.231 0.461 0.584
0.500 0.000 0.500
0.042 0.085 0.160
```

---

Entry 2:
The following is a GGA-PBE calculation of a geometry-optimized Ba4PuTe5 structure, from Alexandria via LeMat-Bulk.

Computed properties:
- raw formation energy (eV per atom) = -1.58

POSCAR file:
```
Ba4PuTe5
1.0
4.865 0.000 -0.686
-0.097 4.864 -0.686
0.016 0.016 17.714
Pu Te Ba
1 5 4
direct
0.000 0.000 0.000
0.500 0.500 0.000
0.300 0.300 0.601
0.906 0.906 0.812
0.700 0.700 0.399
0.094 0.094 0.188
0.598 0.598 0.196
0.198 0.198 0.397
0.802 0.802 0.603
0.402 0.402 0.804
```